[1]
PBE-GGA Ac2YC2I2, optimized geometry; energy relative to the elements, uncorrected = -378 kJ/mol of formula units; total DFT energy (no corrections) = -5.74 eV/atom; M_tot = 0.00 μB per cell; crystal system = tetragonal
1.0
-2.2873 -0.3852 4.0544
0.6515 -4.6248 -0.0718
8.8512 3.5647 2.6413
C Ac I Y
2 2 2 1
direct
0.0000 0.5000 0.0000
0.5000 0.0000 0.0000
0.5901 0.5901 0.1802
0.4099 0.4099 0.8198
0.1767 0.1767 0.3535
0.8233 0.8233 0.6465
0.0000 0.0000 0.0000

***

[2]
PBE-GGA Ac12In3C5, optimized geometry; energy of formation = 0.0714 eV/atom; total DFT energy (no corrections) = -5.11 eV/atom; M_tot = 0.00 μB per cell; crystal system = cubic
1.0
15.2458 0.0000 0.0000
-5.0819 14.3738 0.0000
-5.0819 -7.1869 12.4481
In C Ac
12 20 48
direct
0.6250 0.2500 0.3750
0.6250 0.3750 0.7500
0.2500 0.1250 0.3750
0.2500 0.6250 0.8750
0.8750 0.1250 0.2500
0.3750 0.6250 0.2500
0.8750 0.7500 0.1250
0.7500 0.8750 0.6250
0.7500 0.3750 0.1250
0.1250 0.2500 0.8750
0.1250 0.8750 0.7500
0.3750 0.7500 0.6250
0.3750 0.2500 0.1250
0.3750 0.1250 0.7500
0.5000 0.5000 0.0000
0.5000 0.5000 0.5000
0.5000 0.0000 0.0000
0.0000 0.0000 0.5000
0.2500 0.8750 0.1250
0.0000 0.5000 0.5000
0.0000 0.0000 0.0000
0.7500 0.1250 0.8750
0.1250 0.3750 0.2500
0.7500 0.6250 0.3750
0.8750 0.2500 0.6250
0.6250 0.7500 0.8750
0.1250 0.7500 0.3750
0.8750 0.6250 0.7500
0.5000 0.0000 0.5000
0.2500 0.3750 0.6250
0.6250 0.8750 0.2500
0.0000 0.5000 0.0000
0.0855 0.9033 0.3850
0.8850 0.5855 0.9033
0.1150 0.7006 0.5184
0.2994 0.4145 0.8178
0.4033 0.0184 0.3178
0.3850 0.9816 0.7994
0.2006 0.5184 0.6150
0.9145 0.8178 0.7994
0.0967 0.9145 0.1150
0.7006 0.1150 0.0184
0.4816 0.7994 0.8850
0.5184 0.3178 0.9033
0.4816 0.6822 0.0967
0.8178 0.9033 0.0184
0.9033 0.8178 0.5184
0.8850 0.2994 0.4816
0.5967 0.9816 0.6822
0.5967 0.6150 0.4145
0.0855 0.1822 0.2006
0.1150 0.4145 0.0967
0.5855 0.8850 0.4033
0.6150 0.0184 0.2006
0.6150 0.5967 0.9145
0.3850 0.4033 0.0855
0.7994 0.4816 0.3850
0.1822 0.0855 0.7006
0.3178 0.5184 0.4033
0.0184 0.6150 0.7006
0.7994 0.3178 0.9145
0.9033 0.0855 0.8850
0.4145 0.2994 0.3178
0.9816 0.3850 0.2994
0.1822 0.0967 0.9816
0.4033 0.3850 0.5855
0.9816 0.5967 0.1822
0.3178 0.7994 0.4145
0.0184 0.4033 0.8178
0.7006 0.5855 0.1822
0.2994 0.8850 0.9816
0.4145 0.1150 0.5967
0.5184 0.2006 0.1150
0.0967 0.1822 0.4816
0.8178 0.9145 0.2994
0.2006 0.6822 0.0855
0.6822 0.4816 0.5967
0.9145 0.0967 0.6150
0.6822 0.2006 0.5855
0.5855 0.7006 0.6822

***

What is the M_tot in the second record?
0.00 μB per cell

***

Please write out number 1 again, unchanged.
PBE-GGA Ac2YC2I2, optimized geometry; energy relative to the elements, uncorrected = -378 kJ/mol of formula units; total DFT energy (no corrections) = -5.74 eV/atom; M_tot = 0.00 μB per cell; crystal system = tetragonal
1.0
-2.2873 -0.3852 4.0544
0.6515 -4.6248 -0.0718
8.8512 3.5647 2.6413
C Ac I Y
2 2 2 1
direct
0.0000 0.5000 0.0000
0.5000 0.0000 0.0000
0.5901 0.5901 0.1802
0.4099 0.4099 0.8198
0.1767 0.1767 0.3535
0.8233 0.8233 0.6465
0.0000 0.0000 0.0000

***

What is the total DFT energy (no corrections) in the first record?
-5.74 eV/atom